Material: LiPa2CrO8
Method: DFT, PBE with a Hubbard U
State: relaxed

Properties
calculated density = 6.74 Mg/m³
total DFT energy (no corrections) = -7.954 eV/atom
M_tot = 0.99 μB per formula unit
V = 159.85 Å³/cell
SG = P-3m1, No. 164

Cell lengths 5.169, 5.169, 6.909 Å; angles 90.00, 90.00, 120.00 degrees
Fractional coordinates of all 12 atoms:
O  0.171  0.829  0.150
O  0.171  0.342  0.150
O  0.829  0.658  0.850
O  0.829  0.171  0.850
O  0.667  0.333  0.420
O  0.333  0.667  0.580
O  0.658  0.829  0.150
O  0.342  0.171  0.850
Li  0.000  0.000  0.500
Pa  0.667  0.333  0.151
Pa  0.333  0.667  0.849
Cr  0.000  0.000  0.000